Entry 1:
A plane-wave DFT calculation with PBE-GGA was carried out for a geometry-optimized LiCeH3 structure.

Cell and atoms, written as POSCAR:
```
LiCeH3
1.0
6.630 0.000 0.000
0.000 4.621 0.000
-2.277 0.000 7.408
Li Ce H
4 4 12
Cartesian
0.597 1.111 0.187
-0.542 1.199 3.891
4.894 3.422 3.517
3.756 3.509 7.221
1.374 3.435 2.447
0.236 3.496 6.151
4.117 1.125 1.257
2.978 1.186 4.961
-1.843 0.012 5.996
-0.704 2.298 2.292
5.056 2.322 5.115
6.195 4.609 1.412
1.056 2.872 0.311
-0.083 4.059 4.015
2.082 1.132 2.660
0.944 1.178 6.364
3.409 3.442 1.044
2.270 3.488 4.748
4.435 0.562 3.393
3.296 1.749 7.097
```

space-group type: No. 14
energy above the most stable polymorph in this dataset: 0.006 eV/atom

***

Entry 2:
A plane-wave DFT calculation with PBE-GGA was carried out for a geometry-optimized RbTiCl4 structure.

Cell and atoms, written as POSCAR:
```
RbTiCl4
1.0
4.840 -7.496 0.000
4.840 7.496 0.000
-2.118 0.000 5.835
Rb Ti Cl
2 2 8
Cartesian
3.251 4.206 4.377
4.310 -4.206 1.459
4.310 0.836 1.459
3.251 -0.836 4.377
2.627 2.504 1.727
1.610 0.906 4.874
2.670 -0.906 1.957
5.994 2.504 1.191
1.568 -2.504 4.645
4.892 0.906 3.879
5.951 -0.906 0.961
4.935 -2.504 4.109
```

space-group type: No. 15
energy above the most stable polymorph in this dataset: 0.000 eV/atom
formation energy from raw total energies: -1.718 eV/atom

***

Entry 3:
A plane-wave DFT calculation with PBE-GGA was carried out for a geometry-optimized Rb2ScMnI6 structure.

Cell and atoms, written as POSCAR:
```
Rb2ScMnI6
1.0
0.000 5.840 5.840
5.840 0.000 5.840
5.840 5.840 0.000
Rb Sc Mn I
2 1 1 6
Cartesian
2.920 2.920 2.920
8.760 8.760 8.760
0.000 0.000 0.000
5.840 5.840 5.840
5.840 5.840 2.938
5.840 2.938 5.840
8.742 5.840 5.840
2.938 5.840 5.840
5.840 8.742 5.840
5.840 5.840 8.742
```

space-group type: No. 225
formation energy from raw total energies: -1.003 eV/atom

***

Entry 4:
A plane-wave DFT calculation with PBE-GGA was carried out for a geometry-optimized Ac7PmPr2 structure.

Cell and atoms, written as POSCAR:
```
Ac7PmPr2
1.0
5.067 -8.285 0.000
5.067 8.285 0.000
0.000 0.000 6.084
Ac Pm Pr
7 1 2
Cartesian
0.000 0.000 0.000
3.187 2.018 0.000
5.067 4.021 3.042
3.187 -2.018 0.000
6.948 2.018 0.000
5.067 -4.021 3.042
6.948 -2.018 0.000
5.067 0.000 3.042
5.067 4.958 0.000
5.067 -4.958 0.000
```

space-group type: No. 65
E_form: 0.59 eV/atom

***

Entry 5:
A plane-wave DFT calculation with PBE-GGA was carried out for a geometry-optimized Th2SbRu2 structure.

Cell and atoms, written as POSCAR:
```
Th2SbRu2
1.0
-2.287 2.991 4.134
2.287 -2.991 4.134
2.287 2.991 -4.134
Th Sb Ru
2 1 2
Cartesian
0.000 0.000 1.681
0.000 0.000 6.586
0.000 2.991 0.000
2.287 1.427 0.000
0.000 1.563 4.134
```

space-group type: No. 71
formation energy from raw total energies: -0.574 eV/atom

***

Entry 6:
A plane-wave DFT calculation with PBE-GGA was carried out for a geometry-optimized Er2Ge2Rh5Au structure.

Cell and atoms, written as POSCAR:
```
Er2Ge2Rh5Au
1.0
9.688 0.000 0.000
0.000 9.688 0.000
0.000 0.000 3.628
Er Ge Rh Au
4 4 10 2
Cartesian
1.687 3.157 0.000
3.157 8.001 0.000
6.531 1.687 0.000
8.001 6.531 0.000
1.212 6.056 0.000
3.632 1.212 0.000
6.056 8.476 0.000
8.476 3.632 0.000
0.000 4.844 1.814
0.660 7.659 1.814
2.029 0.660 1.814
2.815 5.504 1.814
4.184 2.815 1.814
4.844 0.000 1.814
5.504 6.873 1.814
6.873 4.184 1.814
7.659 9.028 1.814
9.028 2.029 1.814
0.000 0.000 0.000
4.844 4.844 0.000
```

space-group type: No. 127
E_form: -0.74 eV/atom

***

Entry 7:
A plane-wave DFT calculation with PBE-GGA was carried out for a geometry-optimized KCrTe2 structure.

Cell and atoms, written as POSCAR:
```
KCrTe2
1.0
3.626 0.000 0.000
0.000 3.626 0.000
0.000 0.000 8.492
K Cr Te
1 1 2
Cartesian
0.000 0.000 0.000
0.000 0.000 4.246
1.813 1.813 2.581
1.813 1.813 5.911
```

space-group type: No. 123
formation energy from raw total energies: -0.178 eV/atom

***

Entry 8:
A plane-wave DFT calculation with PBE-GGA was carried out for a geometry-optimized Mn4ZnNi7 structure.

Cell and atoms, written as POSCAR:
```
Mn4ZnNi7
1.0
4.057 0.000 0.000
-2.028 3.513 0.000
0.000 0.000 10.093
Mn Zn Ni
4 1 7
Cartesian
0.000 2.342 1.625
0.000 2.342 4.207
2.028 1.171 5.886
2.028 1.171 8.468
0.000 0.000 0.000
0.000 0.000 2.516
0.000 0.000 5.047
0.000 0.000 7.577
0.000 2.342 6.682
0.000 2.342 9.210
2.028 1.171 0.883
2.028 1.171 3.411
```

space-group type: No. 164
E_form: -0.03 eV/atom

***

no.,spin magnetization (Bohr magnetons per cell)
1,4.4
2,2.0
3,4.0
4,0.6
5,0.0
6,0.0
7,3.3
8,17.7